Density functional theory data (PBEsol) for crystalline Nb3HCl at its relaxed geometry.

## Properties
The raw total energy is -6.1478 eV/atom. The calculation puts the spin magnetization at 0.000 μB/atom. For the density of states at the Fermi level, the calculation gives 7.66 states/eV per cell.

a = 4.502 Å, b = 4.502 Å, c = 4.502 Å
α = 90.00°, β = 90.00°, γ = 90.00°
Element x y z (fractional)
Nb 0.000 0.500 0.000
Nb 0.500 0.000 0.000
Nb 0.000 0.000 0.500
H 0.500 0.500 0.500
Cl 0.000 0.000 0.000

---

Density functional theory data (PBEsol) for crystalline In2MoPt at its relaxed geometry.

## Properties
The calculation puts the spin magnetization at 0.000 μB/atom. For the density of states at the Fermi level, the calculation gives 3.09 states/eV per cell. The relative energy among the computed polymorphs comes out at 69 meV per atom.

a = 2.872 Å, b = 4.584 Å, c = 5.595 Å
α = 90.00°, β = 104.11°, γ = 90.00°
Element x y z (fractional)
In 0.178 0.000 0.985
In 0.823 0.500 0.260
Pt 0.054 0.500 0.746
Mo 0.445 0.000 0.509

---

Density functional theory data (PBEsol) for crystalline SbMoP2 at its relaxed geometry.

## Properties
Its formation energy (no corrections) is 0.422 eV/atom. The calculation puts the spin magnetization at 0.000 μB/atom. For the density of states at the Fermi level, the calculation gives 3.14 states/eV per cell.

a = 3.305 Å, b = 4.994 Å, c = 4.994 Å
α = 63.72°, β = 70.68°, γ = 70.68°
Element x y z (fractional)
Sb 0.500 0.000 0.000
P 0.733 0.267 0.267
P 0.267 0.733 0.733
Mo 0.000 0.500 0.500

---

Density functional theory data (PBEsol) for crystalline TeAs2 at its relaxed geometry.

## Properties
Its formation energy (no corrections) is 0.598 eV/atom. The calculation puts the spin magnetization at 0.000 μB/atom. For the density of states at the Fermi level, the calculation gives 1.67 states/eV per cell.

a = 4.768 Å, b = 4.768 Å, c = 4.768 Å
α = 60.00°, β = 60.00°, γ = 60.00°
Element x y z (fractional)
Te 0.000 0.000 0.000
As 0.750 0.750 0.750
As 0.250 0.250 0.250